A relaxed structure of CsSc2Pd. Source: the Alexandria database, functional PBE.

Values from the calculation:
The calculation puts the spin magnetization at 0.00 μB/f.u. As for the formation energy from the elements: 0.4224 eV/atom. The total DFT energy (no corrections) is -4.255 eV/atom. The value obtained for the excess energy over the best structure of this formula in the dataset is 152 kJ/mol of formula units.

Cell: 7.2507 7.2507 7.2507 Å, 90.00 90.00 90.00°
Space group Fm-3m (No. 225)
Inequivalent atoms, fractional coordinates:
Cs  0.0000  0.0000  0.0000 (multiplicity 4)
Sc  0.2500  0.2500  0.2500 (multiplicity 8)
Pd  0.0000  0.0000  0.5000 (multiplicity 4)

=====

A relaxed structure of Na2Li2BiO4. Source: the Alexandria database, functional PBE.

Values from the calculation:
The calculation puts the spin magnetization at 0.15 μB/f.u. The total DFT energy (no corrections) is -4.838 eV/atom. As for the uncorrected formation energy: -1.484 eV per atom.

Cell: 11.3251 3.4001 8.1058 Å, 90.00 127.72 90.00°
Space group C2/m (No. 12)
Inequivalent atoms, fractional coordinates:
Na  0.1771  0.0000  0.2826 (multiplicity 4)
Li  0.1583  0.5000  0.8817 (multiplicity 4)
Bi  0.0000  0.0000  0.5000 (multiplicity 2)
O  0.0647  0.5000  0.3763 (multiplicity 4)
O  0.2229  0.0000  0.8146 (multiplicity 4)

=====

A relaxed structure of Bi2I2F. Source: the Alexandria database, functional PBE.

Values from the calculation:
The calculation puts the spin magnetization at 0.00 μB/f.u. The total DFT energy (no corrections) is -3.201 eV/atom. As for the uncorrected formation energy: -0.655 eV per atom.

Cell: 13.1273 8.4713 7.9955 Å, 90.00 124.21 90.00°
Space group C2/c (No. 15)
Inequivalent atoms, fractional coordinates:
Bi  0.0347  0.1755  0.4981 (multiplicity 8)
I  0.2019  0.4233  0.2608 (multiplicity 8)
F  0.0000  0.2130  0.7500 (multiplicity 4)

=====

A relaxed structure of Ba3CeTe4. Source: the Alexandria database, functional PBE.

Values from the calculation:
The calculation puts the spin magnetization at 1.41 μB/f.u. The total DFT energy (no corrections) is -4.663 eV/atom. As for the uncorrected formation energy: -1.630 eV per atom.

Cell: 9.7987 13.8007 4.8523 Å, 90.00 90.00 90.00°
Space group Cmmm (No. 65)
Inequivalent atoms, fractional coordinates:
Ba  0.0000  0.0000  0.0000 (multiplicity 2)
Ba  0.2500  0.2500  0.5000 (multiplicity 4)
Ce  0.0000  0.5000  0.0000 (multiplicity 2)
Te  0.0000  0.2608  0.0000 (multiplicity 4)
Te  0.2317  0.5000  0.5000 (multiplicity 4)

=====

A relaxed structure of ZnInIr2. Source: the Alexandria database, functional PBE.

Values from the calculation:
The calculation puts the spin magnetization at 0.36 μB/f.u. As for the formation energy from the elements: 0.1967 eV/atom. The total DFT energy (no corrections) is -5.237 eV/atom.

Cell: 6.3623 6.3623 6.3623 Å, 90.00 90.00 90.00°
Space group F-43m (No. 216)
Inequivalent atoms, fractional coordinates:
Zn  0.0000  0.0000  0.0000 (multiplicity 4)
In  0.2500  0.2500  0.7500 (multiplicity 4)
Ir  0.0000  0.0000  0.5000 (multiplicity 4)
Ir  0.2500  0.2500  0.2500 (multiplicity 4)

=====

A relaxed structure of AlCr2Re. Source: the Alexandria database, functional PBE.

Values from the calculation:
The calculation puts the spin magnetization at 1.75 μB/f.u. As for the formation energy from the elements: 0.0076 eV/atom. The total DFT energy (no corrections) is -8.852 eV/atom.

Cell: 3.0747 4.1737 4.1830 Å, 90.00 90.00 90.00°
Space group Pmmm (No. 47)
Inequivalent atoms, fractional coordinates:
Al  0.0000  0.0000  0.0000 (multiplicity 1)
Cr  0.0000  0.5000  0.5000 (multiplicity 1)
Cr  0.5000  0.0000  0.5000 (multiplicity 1)
Re  0.5000  0.5000  0.0000 (multiplicity 1)

=====

A relaxed structure of MgTcCl. Source: the Alexandria database, functional PBE.

Values from the calculation:
The calculation puts the spin magnetization at 1.84 μB/f.u. The total DFT energy (no corrections) is -4.516 eV/atom. As for the uncorrected formation energy: 0.087 eV per atom. The value obtained for the excess energy over the best structure of this formula in the dataset is 0 kJ/mol of formula units.

Cell: 3.1124 3.1124 6.1714 Å, 90.00 90.00 120.00°
Space group P3m1 (No. 156)
Inequivalent atoms, fractional coordinates:
Mg  0.0000  0.0000  0.0000 (multiplicity 1)
Tc  0.3333  0.6667  0.3424 (multiplicity 1)
Cl  0.6667  0.3333  0.6800 (multiplicity 1)

=====

A relaxed structure of UP2S6. Source: the Alexandria database, functional PBE.

Values from the calculation:
The calculation puts the spin magnetization at 2.00 μB/f.u. The total DFT energy (no corrections) is -5.756 eV/atom. As for the uncorrected formation energy: -0.548 eV per atom. The value obtained for the excess energy over the best structure of this formula in the dataset is 68 kJ/mol of formula units.

Cell: 6.4521 6.4521 21.8313 Å, 90.00 90.00 120.00°
Space group R3 (No. 146, hexagonal axes)
Inequivalent atoms, fractional coordinates:
U  0.0000  0.0000  0.0000 (multiplicity 3)
P  0.0000  0.0000  0.6155 (multiplicity 3)
P  0.0000  0.0000  0.7181 (multiplicity 3)
S  0.0140  0.6321  0.4121 (multiplicity 9)
S  0.0147  0.3807  0.2549 (multiplicity 9)

=====

A relaxed structure of Ta2NbB6. Source: the Alexandria database, functional PBE.

Values from the calculation:
The calculation puts the spin magnetization at 0.00 μB/f.u. As for the formation energy from the elements: -0.6601 eV/atom. The total DFT energy (no corrections) is -8.864 eV/atom.

Cell: 5.3658 5.3658 3.3586 Å, 90.00 90.00 120.00°
Space group P6/mmm (No. 191)
Inequivalent atoms, fractional coordinates:
Ta  0.3333  0.6667  0.0000 (multiplicity 2)
Nb  0.0000  0.0000  0.0000 (multiplicity 1)
B  0.0000  0.3344  0.5000 (multiplicity 6)

=====

A relaxed structure of K4CdHg. Source: the Alexandria database, functional PBE.

Values from the calculation:
The calculation puts the spin magnetization at 0.00 μB/f.u. As for the formation energy from the elements: 0.1667 eV/atom. The total DFT energy (no corrections) is -0.768 eV/atom. The value obtained for the excess energy over the best structure of this formula in the dataset is 147 kJ/mol of formula units.

Cell: 11.0601 11.0601 11.0601 Å, 90.00 90.00 90.00°
Space group F-43m (No. 216)
Inequivalent atoms, fractional coordinates:
K  0.1249  0.1249  0.1249 (multiplicity 16)
Cd  0.2500  0.2500  0.7500 (multiplicity 4)
Hg  0.0000  0.0000  0.5000 (multiplicity 4)

=====

A relaxed structure of BaHf2Sb2. Source: the Alexandria database, functional PBE.

Values from the calculation:
The calculation puts the spin magnetization at 0.00 μB/f.u. The total DFT energy (no corrections) is -6.265 eV/atom. As for the uncorrected formation energy: -0.250 eV per atom. The value obtained for the excess energy over the best structure of this formula in the dataset is 152 kJ/mol of formula units.

Cell: 8.5734 8.5734 3.6925 Å, 90.00 90.00 90.00°
Space group P4/mbm (No. 127)
Inequivalent atoms, fractional coordinates:
Ba  0.0000  0.0000  0.0000 (multiplicity 2)
Hf  0.1335  0.3665  0.5000 (multiplicity 4)
Sb  0.1428  0.6428  0.0000 (multiplicity 4)

=====

A relaxed structure of Te2RhBr. Source: the Alexandria database, functional PBE.

Values from the calculation:
The calculation puts the spin magnetization at 0.00 μB/f.u. The total DFT energy (no corrections) is -4.114 eV/atom. As for the uncorrected formation energy: -0.287 eV per atom.

Cell: 3.9855 3.9855 23.1072 Å, 90.00 90.00 120.00°
Space group R3m (No. 160, hexagonal axes)
Inequivalent atoms, fractional coordinates:
Te  0.0000  0.0000  0.0000 (multiplicity 3)
Te  0.0000  0.0000  0.2176 (multiplicity 3)
Rh  0.0000  0.0000  0.6085 (multiplicity 3)
Br  0.0000  0.0000  0.4342 (multiplicity 3)